[1]
# CrCoCl (GGA-PBE, relaxed)
data_CrCoCl
_chemical_formula_sum 'Cr1 Co1 Cl1'
_symmetry_space_group_name_H-M 'P 3 m 1'
_symmetry_Int_Tables_number 156
_cell_length_a 2.8281
_cell_length_b 2.8281
_cell_length_c 5.8917
_cell_angle_alpha 90.00
_cell_angle_beta 90.00
_cell_angle_gamma 120.00
loop_
_symmetry_equiv_pos_as_xyz
'x,y,z'
'-y,x-y,z'
'-x+y,-x,z'
'-y,-x,z'
'-x+y,y,z'
'x,x-y,z'
loop_
_atom_site_label
_atom_site_fract_x
_atom_site_fract_y
_atom_site_fract_z
_atom_site_occupancy
Cr1 0.0000 0.0000 0.0000 1
Co1 0.3333 0.6667 0.6968 1
Cl1 0.6667 0.3333 0.2902 1
# * offset from the most stable computed form: 0.0000 eV/atom
# * ΔE_f (raw): 0.3476 eV/atom
# * energy: -17.5 eV/cell
# * size of the total moment: 1.02 Bohr magnetons per cell

***

[2]
# Cr2CoCl (GGA-PBE, relaxed)
data_Cr2CoCl
_chemical_formula_sum 'Cr8 Co4 Cl4'
_symmetry_space_group_name_H-M 'I -4 2 d'
_symmetry_Int_Tables_number 122
_symmetry_space_group_name_Hall 'I -4 2bw'
_cell_length_a 6.113
_cell_length_b 6.113
_cell_length_c 7.331
_cell_angle_alpha 90.00
_cell_angle_beta 90.00
_cell_angle_gamma 90.00
loop_
_atom_site_label
_atom_site_fract_x
_atom_site_fract_y
_atom_site_fract_z
_atom_site_occupancy
Cr1 0.228 0.750 0.125 1
Co1 0.000 0.000 0.000 1
Cl1 0.000 0.000 0.500 1
# * offset from the most stable computed form: 0.5086 eV/atom
# * ΔE_f (raw): 0.7543 eV/atom
# * energy: -100.7 eV/cell
# * size of the total moment: 21.07 Bohr magnetons per cell

***

[3]
# CrCoCl3 (GGA-PBE, relaxed)
data_CrCoCl3
_chemical_formula_sum 'Cr2 Co2 Cl6'
_symmetry_space_group_name_H-M 'P 63/m m c'
_symmetry_Int_Tables_number 194
_symmetry_space_group_name_Hall '-P 6c 2c'
_cell_length_a 6.9074
_cell_length_b 6.9074
_cell_length_c 4.8611
_cell_angle_alpha 90.00
_cell_angle_beta 90.00
_cell_angle_gamma 120.00
loop_
_atom_site_label
_atom_site_fract_x
_atom_site_fract_y
_atom_site_fract_z
_atom_site_occupancy
Cr1 0.3333 0.6667 0.2500 1
Co1 0.0000 0.0000 0.0000 1
Cl1 0.1783 0.3566 0.7500 1
# * offset from the most stable computed form: 0.0000 eV/atom
# * ΔE_f (raw): -0.1232 eV/atom
# * energy: -45.8 eV/cell
# * size of the total moment: 14.20 Bohr magnetons per cell

***

[4]
# Cr2CoCl (GGA-PBE, relaxed)
data_Cr2CoCl
_chemical_formula_sum 'Cr4 Co2 Cl2'
_symmetry_space_group_name_H-M 'I m m m'
_symmetry_Int_Tables_number 71
_symmetry_space_group_name_Hall '-I 2 2'
_cell_length_a 2.752
_cell_length_b 4.047
_cell_length_c 8.509
_cell_angle_alpha 90.00
_cell_angle_beta 90.00
_cell_angle_gamma 90.00
loop_
_atom_site_label
_atom_site_fract_x
_atom_site_fract_y
_atom_site_fract_z
_atom_site_occupancy
Cr1 0.000 0.000 0.226 1
Co1 0.000 0.500 0.000 1
Cl1 0.000 0.500 0.500 1
# * offset from the most stable computed form: 0.4453 eV/atom
# * ΔE_f (raw): 0.6910 eV/atom
# * energy: -50.9 eV/cell
# * size of the total moment: 0.00 Bohr magnetons per cell

***

[5]
# CrCoCl2 (GGA-PBE, relaxed)
data_CrCoCl2
_chemical_formula_sum 'Cr4 Co4 Cl8'
_symmetry_space_group_name_H-M 'F -4 3 m'
_symmetry_Int_Tables_number 216
_symmetry_space_group_name_Hall 'F -4 2 3'
_cell_length_a 6.506
_cell_length_b 6.506
_cell_length_c 6.506
_cell_angle_alpha 90.00
_cell_angle_beta 90.00
_cell_angle_gamma 90.00
loop_
_atom_site_label
_atom_site_fract_x
_atom_site_fract_y
_atom_site_fract_z
_atom_site_occupancy
Cr1 0.000 0.000 0.000 1
Co1 0.250 0.250 0.750 1
Cl1 0.000 0.000 0.500 1
Cl2 0.250 0.250 0.250 1
# * offset from the most stable computed form: 0.7751 eV/atom
# * ΔE_f (raw): 0.5877 eV/atom
# * energy: -72.3 eV/cell
# * size of the total moment: 11.47 Bohr magnetons per cell

***

[6]
# Cr2CoCl (GGA-PBE, relaxed)
data_Cr2CoCl
_chemical_formula_sum 'Cr4 Co2 Cl2'
_symmetry_space_group_name_H-M 'I m m 2'
_symmetry_Int_Tables_number 44
_cell_length_a 2.830
_cell_length_b 4.260
_cell_length_c 8.511
_cell_angle_alpha 90.00
_cell_angle_beta 90.00
_cell_angle_gamma 90.00
loop_
_symmetry_equiv_pos_as_xyz
'x,y,z'
'-x,-y,z'
'-x,y,z'
'x,-y,z'
'x+1/2,y+1/2,z+1/2'
'-x+1/2,-y+1/2,z+1/2'
'-x+1/2,y+1/2,z+1/2'
'x+1/2,-y+1/2,z+1/2'
loop_
_atom_site_label
_atom_site_fract_x
_atom_site_fract_y
_atom_site_fract_z
_atom_site_occupancy
Cr1 0.000 0.000 0.000 1
Cr2 0.000 0.500 0.227 1
Co1 0.000 0.000 0.463 1
Cl1 0.000 0.500 0.740 1
# * offset from the most stable computed form: 0.3025 eV/atom
# * ΔE_f (raw): 0.5482 eV/atom
# * energy: -52.0 eV/cell
# * size of the total moment: 0.20 Bohr magnetons per cell

***

[7]
# CrCoCl2 (GGA-PBE, relaxed)
data_CrCoCl2
_chemical_formula_sum 'Cr1 Co1 Cl2'
_symmetry_space_group_name_H-M 'P 4/m m m'
_symmetry_Int_Tables_number 123
_symmetry_space_group_name_Hall '-P 4 2'
_cell_length_a 4.502
_cell_length_b 4.502
_cell_length_c 3.201
_cell_angle_alpha 90.00
_cell_angle_beta 90.00
_cell_angle_gamma 90.00
loop_
_atom_site_label
_atom_site_fract_x
_atom_site_fract_y
_atom_site_fract_z
_atom_site_occupancy
Cr1 0.000 0.000 0.000 1
Co1 0.500 0.500 0.000 1
Cl1 0.000 0.500 0.500 1
# * offset from the most stable computed form: 0.5293 eV/atom
# * ΔE_f (raw): 0.3419 eV/atom
# * energy: -19.1 eV/cell
# * size of the total moment: 6.48 Bohr magnetons per cell

***

[8]
# CrCoCl3 (GGA-PBE, relaxed)
data_CrCoCl3
_chemical_formula_sum 'Cr1 Co1 Cl3'
_symmetry_space_group_name_H-M 'P m -3 m'
_symmetry_Int_Tables_number 221
_symmetry_space_group_name_Hall '-P 4 2 3'
_cell_length_a 4.727
_cell_length_b 4.727
_cell_length_c 4.727
_cell_angle_alpha 90.00
_cell_angle_beta 90.00
_cell_angle_gamma 90.00
loop_
_atom_site_label
_atom_site_fract_x
_atom_site_fract_y
_atom_site_fract_z
_atom_site_occupancy
Cr1 0.000 0.000 0.000 1
Co1 0.500 0.500 0.500 1
Cl1 0.000 0.500 0.500 1
# * offset from the most stable computed form: 0.0716 eV/atom
# * ΔE_f (raw): -0.0516 eV/atom
# * energy: -22.5 eV/cell
# * size of the total moment: 6.82 Bohr magnetons per cell

***

[9]
# CrCo2Cl (GGA-PBE, relaxed)
data_CrCo2Cl
_chemical_formula_sum 'Cr2 Co4 Cl2'
_symmetry_space_group_name_H-M 'C m m m'
_symmetry_Int_Tables_number 65
_symmetry_space_group_name_Hall '-C 2 2'
_cell_length_a 2.891
_cell_length_b 4.621
_cell_length_c 7.835
_cell_angle_alpha 90.00
_cell_angle_beta 90.00
_cell_angle_gamma 90.00
loop_
_atom_site_label
_atom_site_fract_x
_atom_site_fract_y
_atom_site_fract_z
_atom_site_occupancy
Cr1 0.000 0.000 0.000 1
Co1 0.000 0.500 0.238 1
Cl1 0.000 0.000 0.500 1
# * offset from the most stable computed form: 0.2429 eV/atom
# * ΔE_f (raw): 0.5272 eV/atom
# * energy: -47.1 eV/cell
# * size of the total moment: 7.87 Bohr magnetons per cell

***

[10]
# CrCo2Cl (GGA-PBE, relaxed)
data_CrCo2Cl
_chemical_formula_sum 'Cr1 Co2 Cl1'
_symmetry_space_group_name_H-M 'P m m m'
_symmetry_Int_Tables_number 47
_cell_length_a 2.868
_cell_length_b 4.029
_cell_length_c 4.681
_cell_angle_alpha 90.00
_cell_angle_beta 90.00
_cell_angle_gamma 90.00
loop_
_symmetry_equiv_pos_as_xyz
'x,y,z'
'-x,-y,-z'
'-x,-y,z'
'x,y,-z'
'x,-y,-z'
'-x,y,z'
'-x,y,-z'
'x,-y,z'
loop_
_atom_site_label
_atom_site_fract_x
_atom_site_fract_y
_atom_site_fract_z
_atom_site_occupancy
Cr1 0.000 0.000 0.000 1
Co1 0.000 0.500 0.500 1
Co2 0.500 0.000 0.500 1
Cl1 0.500 0.500 0.000 1
# * offset from the most stable computed form: 0.3412 eV/atom
# * ΔE_f (raw): 0.6255 eV/atom
# * energy: -23.2 eV/cell
# * size of the total moment: 6.91 Bohr magnetons per cell

***

[11]
# CrCo2Cl (GGA-PBE, relaxed)
data_CrCo2Cl
_chemical_formula_sum 'Cr1 Co2 Cl1'
_symmetry_space_group_name_H-M 'P 4/m m m'
_symmetry_Int_Tables_number 123
_symmetry_space_group_name_Hall '-P 4 2'
_cell_length_a 2.744
_cell_length_b 2.744
_cell_length_c 6.658
_cell_angle_alpha 90.00
_cell_angle_beta 90.00
_cell_angle_gamma 90.00
loop_
_atom_site_label
_atom_site_fract_x
_atom_site_fract_y
_atom_site_fract_z
_atom_site_occupancy
Cr1 0.000 0.000 0.000 1
Co1 0.500 0.500 0.231 1
Cl1 0.000 0.000 0.500 1
# * offset from the most stable computed form: 0.1788 eV/atom
# * ΔE_f (raw): 0.4631 eV/atom
# * energy: -23.8 eV/cell
# * size of the total moment: 1.74 Bohr magnetons per cell

***

[12]
# CrCoCl2 (GGA-PBE, relaxed)
data_CrCoCl2
_chemical_formula_sum 'Cr2 Co2 Cl4'
_symmetry_space_group_name_H-M 'C 1 m 1'
_symmetry_Int_Tables_number 8
_cell_length_a 14.035
_cell_length_b 3.433
_cell_length_c 3.632
_cell_angle_alpha 90.00
_cell_angle_beta 94.68
_cell_angle_gamma 90.00
loop_
_symmetry_equiv_pos_as_xyz
'x,y,z'
'x,-y,z'
'x+1/2,y+1/2,z'
'x+1/2,-y+1/2,z'
loop_
_atom_site_label
_atom_site_fract_x
_atom_site_fract_y
_atom_site_fract_z
_atom_site_occupancy
Cr1 0.000 0.000 0.000 1
Co1 0.448 0.000 0.472 1
Cl1 0.096 0.500 0.732 1
Cl2 0.351 0.500 0.296 1
# * offset from the most stable computed form: 0.0151 eV/atom
# * ΔE_f (raw): -0.1723 eV/atom
# * energy: -42.2 eV/cell
# * size of the total moment: 6.02 Bohr magnetons per cell

***

[13]
# CrCoCl (GGA-PBE, relaxed)
data_CrCoCl
_chemical_formula_sum 'Cr4 Co4 Cl4'
_symmetry_space_group_name_H-M 'F m m 2'
_symmetry_Int_Tables_number 42
_symmetry_space_group_name_Hall 'F 2 -2'
_cell_length_a 3.069
_cell_length_b 4.997
_cell_length_c 11.964
_cell_angle_alpha 90.00
_cell_angle_beta 90.00
_cell_angle_gamma 90.00
loop_
_atom_site_label
_atom_site_fract_x
_atom_site_fract_y
_atom_site_fract_z
_atom_site_occupancy
Cr1 0.000 0.000 0.000 1
Co1 0.000 0.000 0.354 1
Cl1 0.000 0.000 0.651 1
# * offset from the most stable computed form: 0.0840 eV/atom
# * ΔE_f (raw): 0.4316 eV/atom
# * energy: -69.1 eV/cell
# * size of the total moment: 16.25 Bohr magnetons per cell

***

[14]
# CrCo2Cl (GGA-PBE, relaxed)
data_CrCo2Cl
_chemical_formula_sum 'Cr4 Co8 Cl4'
_symmetry_space_group_name_H-M 'F m -3 m'
_symmetry_Int_Tables_number 225
_symmetry_space_group_name_Hall '-F 4 2 3'
_cell_length_a 5.825
_cell_length_b 5.825
_cell_length_c 5.825
_cell_angle_alpha 90.00
_cell_angle_beta 90.00
_cell_angle_gamma 90.00
loop_
_atom_site_label
_atom_site_fract_x
_atom_site_fract_y
_atom_site_fract_z
_atom_site_occupancy
Cr1 0.000 0.000 0.000 1
Co1 0.250 0.250 0.250 1
Cl1 0.000 0.000 0.500 1
# * offset from the most stable computed form: 0.7200 eV/atom
# * ΔE_f (raw): 1.0044 eV/atom
# * energy: -86.7 eV/cell
# * size of the total moment: 5.99 Bohr magnetons per cell

***

[15]
# Cr2CoCl (GGA-PBE, relaxed)
data_Cr2CoCl
_chemical_formula_sum 'Cr4 Co2 Cl2'
_symmetry_space_group_name_H-M 'C 1 2/m 1'
_symmetry_Int_Tables_number 12
_cell_length_a 9.457
_cell_length_b 2.824
_cell_length_c 3.862
_cell_angle_alpha 90.00
_cell_angle_beta 93.24
_cell_angle_gamma 90.00
loop_
_symmetry_equiv_pos_as_xyz
'x,y,z'
'-x,-y,-z'
'-x,y,-z'
'x,-y,z'
'x+1/2,y+1/2,z'
'-x+1/2,-y+1/2,-z'
'-x+1/2,y+1/2,-z'
'x+1/2,-y+1/2,z'
loop_
_atom_site_label
_atom_site_fract_x
_atom_site_fract_y
_atom_site_fract_z
_atom_site_occupancy
Cr1 0.213 0.000 0.298 1
Co1 0.000 0.500 0.500 1
Cl1 0.000 0.000 0.000 1
# * offset from the most stable computed form: 0.3522 eV/atom
# * ΔE_f (raw): 0.5979 eV/atom
# * energy: -51.6 eV/cell
# * size of the total moment: 0.00 Bohr magnetons per cell